Entry 1:
Pm2MgB2Rh5: relaxed, PBE.

The space group is P4/mbm (No. 127) and the conventional cell measures 9.767, 9.767 and 3.225 Å, with angles of 90.00, 90.00 and 90.00 degrees. The distinct sites, in fractional coordinates, are Pm at (0.177, 0.323, 0.000), Mg at (0.000, 0.000, 0.000), B at (0.122, 0.622, 0.000), Rh at (0.000, 0.500, 0.500) and Rh at (0.070, 0.773, 0.500).

The value obtained for the total DFT energy (no corrections) is -6.79 eV/atom. The calculation puts the formation energy at -672 meV per atom. As for the density: 9180 kg/m3.


Entry 2:
Pm3Mg2BRu3: relaxed, PBE.

The space group is P-62m (No. 189) and the conventional cell measures 7.7347, 7.7347 and 3.5263 Å, with angles of 90.00, 90.00 and 120.00 degrees. The distinct sites, in fractional coordinates, are Pm at (0.0000, 0.6603, 0.0000), Mg at (0.3333, 0.6667, 0.5000), B at (0.0000, 0.0000, 0.0000) and Ru at (0.0000, 0.2123, 0.5000).

The value obtained for the total DFT energy (no corrections) is -5.80 eV/atom. The calculation puts the formation energy at -31 meV per atom. As for the density: 7250 kg/m3.


Entry 3:
PrMgB14: relaxed, PBE.

The space group is Imma (No. 74) and the conventional cell measures 5.940, 10.812 and 8.369 Å, with angles of 90.00, 90.00 and 90.00 degrees. The distinct sites, in fractional coordinates, are Pr at (0.000, 0.250, 0.138), Mg at (0.250, 0.250, 0.750), B at (0.000, 0.083, 0.668), B at (0.000, 0.130, 0.870), B at (0.000, 0.166, 0.471), B at (0.160, 0.059, 0.340) and B at (0.248, 0.076, 0.547).

The value obtained for the total DFT energy (no corrections) is -6.44 eV/atom. The calculation puts the formation energy at -197 meV per atom. As for the density: 3912 kg/m3.


Entry 4:
Pr2MgB3Pt12: relaxed, PBE.

The space group is R-3m (No. 166, hexagonal axes) and the conventional cell measures 8.0267, 8.0267 and 17.1818 Å, with angles of 90.00, 90.00 and 120.00 degrees. The distinct sites, in fractional coordinates, are Pr at (0.0000, 0.0000, 0.1047), Mg at (0.0000, 0.0000, 0.5000), B at (0.0000, 0.5000, 0.0000), Pt at (0.0069, 0.5034, 0.8775) and Pt at (0.0600, 0.5300, 0.3517).

The value obtained for the total DFT energy (no corrections) is -6.21 eV/atom. The calculation puts the formation energy at -450 meV per atom. As for the density: 13924 kg/m3.


Entry 5:
Pr3Mg2BRu3: relaxed, PBE.

The space group is P-62m (No. 189) and the conventional cell measures 7.8479, 7.8479 and 3.5524 Å, with angles of 90.00, 90.00 and 120.00 degrees. The distinct sites, in fractional coordinates, are Pr at (0.0000, 0.6599, 0.0000), Mg at (0.3333, 0.6667, 0.5000), B at (0.0000, 0.0000, 0.0000) and Ru at (0.0000, 0.2080, 0.5000).

The value obtained for the total DFT energy (no corrections) is -5.75 eV/atom. The calculation puts the formation energy at 30 meV per atom. As for the density: 6883 kg/m3.


Entry 6:
PrMg2BRu2: relaxed, PBE.

The space group is P4/mmm (No. 123) and the conventional cell measures 4.313, 4.313 and 5.800 Å, with angles of 90.00, 90.00 and 90.00 degrees. The distinct sites, in fractional coordinates, are Pr at (0.000, 0.000, 0.000), Mg at (0.500, 0.500, 0.247), B at (0.000, 0.000, 0.500) and Ru at (0.000, 0.500, 0.500).

The value obtained for the total DFT energy (no corrections) is -5.71 eV/atom. The calculation puts the formation energy at -177 meV per atom. As for the density: 6195 kg/m3.